DFT (GGA-PBE) results for GdYHoCd after structural relaxation.

Geometry as POSCAR:
```
GdYHoCd
1.0
0.000 3.859 3.859
3.859 0.000 3.859
3.859 3.859 0.000
Gd Y Ho Cd
1 1 1 1
Cartesian
0.000 0.000 0.000 Gd
3.859 3.859 3.859 Y
5.789 5.789 5.789 Ho
1.930 1.930 1.930 Cd
```

Properties
**E_form**: -0.1 eV/f.u.

***

DFT (GGA-PBE) results for GdHoZnCd after structural relaxation.

Geometry as POSCAR:
```
GdHoZnCd
1.0
0.000 3.674 3.674
3.674 0.000 3.674
3.674 3.674 0.000
Gd Ho Zn Cd
1 1 1 1
Cartesian
0.000 0.000 0.000 Gd
3.674 3.674 3.674 Ho
1.837 1.837 1.837 Zn
5.511 5.511 5.511 Cd
```

Properties
**E_form**: -1.3 eV/f.u.

***

DFT (GGA-PBE) results for Gd2CdI after structural relaxation.

Geometry as POSCAR:
```
Gd2CdI
1.0
3.698 0.000 0.000
0.000 3.698 0.000
0.000 0.000 8.380
Gd Cd I
2 1 1
Cartesian
0.000 0.000 1.954 Gd
0.000 0.000 6.427 Gd
1.849 1.849 0.000 Cd
1.849 1.849 4.190 I
```

Properties
**Polymorph energy (0 for the lowest one)**: 0.0 kJ per mole of atoms
**Formation energy (no corrections)**: -0.49 eV/atom

***

So what do the calculations give for total DFT energy (no corrections)? Going down the list: -6.54 -5.53 -8.14 eV per atom.